Entry 1:
{
  "formula": "CuSe2O",
  "functional": "PBE",
  "state": "relaxed",
  "lattice_angstrom": [[2.190, 0.000, 6.227], [-1.095, 1.897, 6.227], [-1.095, -1.897, 6.227]],
  "species": ["O", "Cu", "Se", "Se"],
  "frac_coords": [[0.000, 0.000, 0.000], [0.500, 0.500, 0.500], [0.899, 0.899, 0.899], [0.101, 0.101, 0.101]],
  "rho_g_cm3": 5.08,
  "space_group": "R-3m, No. 166",
  "dft_energy_ev_per_atom": -4.015,
  "volume_a3_per_cell": 77.62
}

---

Entry 2:
{
  "formula": "CuSeO3",
  "functional": "PBE",
  "state": "relaxed",
  "lattice_angstrom": [[-5.214, -1.278, -0.689], [1.512, -2.398, -6.993], [2.856, -3.336, 5.833]],
  "species": ["Cu", "Cu", "Se", "Se", "O", "O", "O", "O", "O", "O"],
  "frac_coords": [[0.147, 0.660, 0.500], [0.647, 0.340, 0.500], [0.106, 0.192, 0.500], [0.606, 0.808, 0.500], [0.503, 0.865, 0.719], [0.284, 0.646, 0.281], [0.003, 0.354, 0.719], [0.802, 0.621, 0.500], [0.784, 0.135, 0.281], [0.302, 0.379, 0.500]],
  "rho_g_cm3": 2.75,
  "space_group": "Ima2, No. 46",
  "dft_energy_ev_per_atom": -4.999,
  "volume_a3_per_cell": 230.13
}

---

Entry 3:
{
  "formula": "CuSe2O",
  "functional": "PBE",
  "state": "relaxed",
  "lattice_angstrom": [[-1.684, -6.187, 5.357], [0.860, -7.168, 4.206], [0.898, -5.238, 6.448]],
  "species": ["O", "Cu", "Se", "Se"],
  "frac_coords": [[0.500, 0.500, 0.500], [0.000, 0.000, 0.000], [0.903, 0.903, 0.903], [0.097, 0.097, 0.097]],
  "rho_g_cm3": 6.36,
  "space_group": "R-3m, No. 166",
  "dft_energy_ev_per_atom": -3.453,
  "volume_a3_per_cell": 62.02
}

---

Entry 4:
{
  "formula": "CuSeO3",
  "functional": "PBE",
  "state": "relaxed",
  "lattice_angstrom": [[5.558, 0.000, 0.000], [0.000, 6.235, 0.000], [0.000, 0.000, 7.256]],
  "species": ["Cu", "Cu", "Cu", "Cu", "Se", "Se", "Se", "Se", "O", "O", "O", "O", "O", "O", "O", "O", "O", "O", "O", "O"],
  "frac_coords": [[0.500, 0.000, 0.000], [0.000, 0.500, 0.000], [0.000, 0.500, 0.500], [0.500, 0.000, 0.500], [0.015, 0.050, 0.250], [0.515, 0.450, 0.750], [0.485, 0.550, 0.250], [0.985, 0.950, 0.750], [0.928, 0.208, 0.434], [0.428, 0.292, 0.566], [0.572, 0.708, 0.066], [0.072, 0.792, 0.934], [0.072, 0.792, 0.566], [0.572, 0.708, 0.434], [0.428, 0.292, 0.934], [0.928, 0.208, 0.066], [0.338, 0.071, 0.250], [0.838, 0.429, 0.750], [0.162, 0.571, 0.250], [0.662, 0.929, 0.750]],
  "rho_g_cm3": 5.03,
  "space_group": "Pnma, No. 62",
  "dft_energy_ev_per_atom": -5.131,
  "volume_a3_per_cell": 251.44
}